Entry 1:
# Li3Ti2P3O12

Li3Ti2P3O12 after structural relaxation (PBEsol, the Alexandria database).

Space-group type: C2/m (12)
Raw formation energy (kJ/mol of atoms): -238.4
Energy above the lowest structure with this stoichiometry (meV per atom): 5
Crystal system: monoclinic

Cell lengths 4.909, 4.909, 18.113 Å; angles 90.52, 90.52, 67.50 degrees
Atoms (fractional coordinates):
Li 0.001 0.001 0.328
Li 0.330 0.330 0.592
Li 0.333 0.333 0.253
Li 0.667 0.667 0.747
Li 0.670 0.670 0.408
Li 0.999 0.999 0.672
Ti 0.000 0.000 0.000
Ti 0.000 0.000 0.500
Ti 0.002 0.002 0.157
Ti 0.998 0.998 0.843
P 0.346 0.346 0.759
P 0.350 0.350 0.080
P 0.351 0.351 0.419
P 0.649 0.649 0.581
P 0.650 0.650 0.920
P 0.654 0.654 0.241
O 0.231 0.231 0.826
O 0.234 0.692 0.763
O 0.234 0.695 0.079
O 0.240 0.240 0.012
O 0.240 0.697 0.422
O 0.244 0.244 0.490
O 0.246 0.246 0.350
O 0.246 0.246 0.688
O 0.249 0.249 0.151
O 0.303 0.760 0.578
O 0.305 0.766 0.921
O 0.308 0.766 0.237
O 0.692 0.234 0.763
O 0.695 0.234 0.079
O 0.697 0.240 0.422
O 0.751 0.751 0.849
O 0.754 0.754 0.312
O 0.754 0.754 0.650
O 0.756 0.756 0.510
O 0.760 0.303 0.578
O 0.760 0.760 0.988
O 0.766 0.305 0.921
O 0.766 0.308 0.237
O 0.769 0.769 0.174

Entry 2:
# Li3Ti2P3O12

Li3Ti2P3O12 after structural relaxation (PBEsol, the Alexandria database).

Space-group type: C2/c (15)
Raw formation energy (kJ/mol of atoms): -237.5
Energy above the lowest structure with this stoichiometry (meV per atom): 15
Crystal system: monoclinic

Cell lengths 8.581, 8.581, 8.465 Å; angles 117.27, 117.27, 61.36 degrees
Atoms (fractional coordinates):
Li 0.144 0.856 0.750
Li 0.191 0.433 0.694
Li 0.433 0.191 0.194
Li 0.567 0.809 0.806
Li 0.809 0.567 0.306
Li 0.856 0.144 0.250
Ti 0.138 0.644 0.360
Ti 0.356 0.862 0.140
Ti 0.644 0.138 0.860
Ti 0.862 0.356 0.640
P 0.023 0.255 0.049
P 0.255 0.023 0.549
P 0.455 0.545 0.750
P 0.545 0.455 0.250
P 0.745 0.977 0.451
P 0.977 0.745 0.951
O 0.029 0.436 0.213
O 0.038 0.721 0.141
O 0.107 0.222 0.576
O 0.119 0.804 0.946
O 0.196 0.881 0.554
O 0.222 0.107 0.076
O 0.259 0.566 0.598
O 0.279 0.962 0.359
O 0.390 0.485 0.314
O 0.434 0.741 0.902
O 0.436 0.029 0.713
O 0.485 0.390 0.814
O 0.515 0.610 0.186
O 0.564 0.971 0.287
O 0.566 0.259 0.098
O 0.610 0.515 0.686
O 0.721 0.038 0.641
O 0.741 0.434 0.402
O 0.778 0.893 0.924
O 0.804 0.119 0.446
O 0.881 0.196 0.054
O 0.893 0.778 0.424
O 0.962 0.279 0.859
O 0.971 0.564 0.787

Entry 3:
# LiTiP2O7

LiTiP2O7 after structural relaxation (PBEsol, the Alexandria database).

Space-group type: C2 (5)
Raw formation energy (kJ/mol of atoms): -233.7
Energy above the lowest structure with this stoichiometry (meV per atom): 10
Crystal system: monoclinic

Cell lengths 5.253, 5.253, 4.538 Å; angles 98.24, 98.24, 103.12 degrees
Atoms (fractional coordinates):
Li 0.000 0.000 0.000
Ti 0.375 0.625 0.000
P 0.501 0.081 0.589
P 0.919 0.499 0.411
O 0.065 0.679 0.711
O 0.096 0.405 0.199
O 0.321 0.935 0.289
O 0.378 0.285 0.745
O 0.595 0.904 0.801
O 0.715 0.622 0.255
O 0.777 0.223 0.500

The lowest raw formation energy belongs to which entry? number 1

Among the records above, which one has the highest raw formation energy? LiTiP2O7

Which formula does entry 2 have? Li3Ti2P3O12